Here is a relaxed LiCrFeIr crystal from Alexandria via LeMat-Bulk. Energies are from GGA-PBE.

abc: 5.7131 5.7131 5.7131
angles: 90.00 90.00 90.00
Closest atoms and distances in Å follow each position.
Space group F-43m (No. 216)
One atom of each set of equivalent atoms:
Li (0.0000, 0.0000, 0.0000) [4 per cell]  4 Fe 2.47, 4 Ir 2.47
Cr (0.0000, 0.0000, 0.5000) [4 per cell]  4 Fe 2.47, 4 Ir 2.47
Fe (0.2500, 0.2500, 0.2500) [4 per cell]  4 Cr 2.47, 4 Li 2.47
Ir (0.2500, 0.2500, 0.7500) [4 per cell]  4 Cr 2.47, 4 Li 2.47

energy of formation from the pure elements	-1	kJ/mol of formula units
uncorrected energy	-7.22	eV/atom